Here is a relaxed HoGaGe crystal from the Alexandria database. Energies are from GGA-PBE.

ΔH_f (0 K), meV/atom: -612

POSCAR file:
```
HoGaGe
1.0
4.128 0.000 0.000
-2.064 3.575 0.000
0.000 0.000 4.285
Ho Ga Ge
1 1 1
Cartesian
0.000 0.000 0.000
0.000 2.383 2.561
2.064 1.192 1.763
```


Here is a relaxed HoGaGe crystal from the Alexandria database. Energies are from GGA-PBE.

ΔH_f (0 K), meV/atom: -613

POSCAR file:
```
HoGaGe
1.0
2.069 -5.151 0.000
2.069 5.151 0.000
0.000 0.000 5.774
Ho Ga Ge
2 2 2
Cartesian
2.069 3.318 4.330
2.069 -3.318 1.443
2.069 0.000 0.000
2.069 0.000 2.887
2.069 3.945 1.443
2.069 -3.945 4.330
```


Here is a relaxed Ho2Ga2Ge crystal from the Alexandria database. Energies are from GGA-PBE.

ΔH_f (0 K), meV/atom: -639

POSCAR file:
```
Ho2Ga2Ge
1.0
5.449 -2.067 0.000
5.449 2.067 0.000
-5.053 0.000 9.682
Ho Ga Ge
4 4 2
Cartesian
-0.970 0.000 3.893
-1.101 0.000 8.258
6.946 0.000 1.424
6.815 0.000 5.789
-4.368 0.000 8.705
2.009 0.000 3.780
3.836 0.000 5.902
10.213 0.000 0.977
3.655 0.000 1.804
2.190 0.000 7.878
```


Here is a relaxed Ho3GaGe2 crystal from the Alexandria database. Energies are from GGA-PBE.

ΔH_f (0 K), meV/atom: -737

POSCAR file:
```
Ho3GaGe2
1.0
11.550 0.000 0.000
0.000 4.172 0.000
0.000 0.000 11.478
Ho Ga Ge
12 4 8
Cartesian
0.625 1.043 1.387
1.449 3.129 6.448
2.360 1.043 9.202
3.414 3.129 3.463
4.326 1.043 0.709
5.150 3.129 7.126
6.400 1.043 4.352
7.224 3.129 10.769
8.135 1.043 8.015
9.189 3.129 2.276
10.100 1.043 5.030
10.925 3.129 10.092
1.561 1.043 4.205
4.214 3.129 9.944
7.336 1.043 1.534
9.989 3.129 7.274
0.158 3.129 3.599
2.141 3.129 0.035
3.634 1.043 5.774
5.616 1.043 9.338
5.933 3.129 2.140
7.916 3.129 5.704
9.409 1.043 11.443
11.391 1.043 7.879
```


Here is a relaxed Ho3Ga2Ge3 crystal from the Alexandria database. Energies are from GGA-PBE.

ΔH_f (0 K), meV/atom: -656

POSCAR file:
```
Ho3Ga2Ge3
1.0
2.077 -5.500 0.000
2.077 5.500 0.000
0.000 0.000 14.665
Ho Ga Ge
6 4 6
Cartesian
2.077 4.873 9.008
2.077 4.873 12.990
2.077 1.736 10.999
2.077 -1.736 3.666
2.077 -4.873 1.675
2.077 -4.873 5.657
2.077 3.005 1.619
2.077 3.005 5.714
2.077 -3.005 8.951
2.077 -3.005 13.046
2.077 1.288 7.879
2.077 1.288 14.118
2.077 1.256 3.666
2.077 -1.256 10.999
2.077 -1.288 0.547
2.077 -1.288 6.786
```


Here is a relaxed Ho2Ga2Ge3 crystal from the Alexandria database. Energies are from GGA-PBE.

ΔH_f (0 K), meV/atom: -403

POSCAR file:
```
Ho2Ga2Ge3
1.0
-4.241 4.241 4.241
4.241 -4.241 4.241
4.241 4.241 -4.241
Ho Ga Ge
4 4 6
Cartesian
4.164 0.076 -0.076
0.076 0.076 0.076
0.076 -0.076 4.164
-0.076 4.164 0.076
5.826 -1.585 1.585
1.585 5.826 -1.585
2.656 2.656 2.656
-1.585 1.585 5.826
6.361 2.033 0.000
2.208 0.000 2.120
2.120 2.208 0.000
0.000 2.120 2.208
2.033 0.000 6.361
0.000 6.361 2.033
```


Here is a relaxed HoGa2Ge crystal from the Alexandria database. Energies are from GGA-PBE.

ΔH_f (0 K), meV/atom: -256

POSCAR file:
```
HoGa2Ge
1.0
2.220 1.282 4.925
-2.220 1.282 4.925
0.000 -2.564 4.925
Ho Ga Ge
1 2 1
Cartesian
0.000 0.000 0.000
0.000 0.000 3.275
0.000 0.000 11.500
0.000 0.000 7.388
```


Here is a relaxed Ho2Ga4Ge crystal from the Alexandria database. Energies are from GGA-PBE.

ΔH_f (0 K), meV/atom: -451

POSCAR file:
```
Ho2Ga4Ge
1.0
5.759 0.000 0.000
0.000 5.803 0.000
-1.964 0.000 8.495
Ho Ga Ge
4 8 2
Cartesian
-0.222 1.451 3.395
1.534 4.353 0.090
2.261 1.451 8.405
4.017 4.353 5.100
1.326 1.451 0.933
0.892 4.353 3.611
0.923 2.983 5.938
0.923 5.722 5.938
2.872 0.081 2.557
2.872 2.821 2.557
2.903 1.451 4.884
2.469 4.353 7.562
-0.969 1.451 6.831
4.764 4.353 1.663
```


Here is a relaxed Ho7Ga2Ge2 crystal from the Alexandria database. Energies are from GGA-PBE.

ΔH_f (0 K), meV/atom: -256

POSCAR file:
```
Ho7Ga2Ge2
1.0
3.796 -5.394 0.000
3.796 5.394 0.000
0.000 0.000 7.207
Ho Ga Ge
7 2 2
Cartesian
0.000 0.000 0.000
1.898 2.697 2.063
1.898 2.697 5.143
1.898 -2.697 2.063
1.898 -2.697 5.143
3.796 0.000 1.851
3.796 0.000 5.356
3.796 2.275 0.000
3.796 -2.275 0.000
1.319 0.000 3.603
6.273 0.000 3.603
```


Here is a relaxed Ho4Ga2Ge crystal from the Alexandria database. Energies are from GGA-PBE.

ΔH_f (0 K), meV/atom: -411

POSCAR file:
```
Ho4Ga2Ge
1.0
7.857 0.000 0.000
-2.611 7.424 0.000
-2.606 -3.713 6.454
Ho Ga Ge
8 4 2
Cartesian
-0.654 2.578 1.186
-2.571 3.945 5.263
1.344 -0.943 2.425
-0.633 0.452 4.877
3.273 3.260 1.577
1.296 4.655 4.029
5.211 -0.233 1.191
3.294 1.133 5.268
0.000 0.000 0.000
-1.303 -1.856 3.227
-2.608 1.856 3.227
1.320 1.856 3.227
0.664 5.103 0.804
1.976 -1.391 5.650
```


Here is a relaxed Ho3GaGe3 crystal from the Alexandria database. Energies are from GGA-PBE.

ΔH_f (0 K), meV/atom: -574

POSCAR file:
```
Ho3GaGe3
1.0
8.466 0.000 0.000
-4.233 7.332 0.000
0.000 0.000 5.855
Ho Ga Ge
6 2 6
Cartesian
-2.443 5.068 1.464
1.065 2.682 1.464
2.856 0.418 4.392
1.377 6.913 1.464
3.168 4.650 4.392
6.676 2.264 4.392
0.000 4.888 4.392
4.233 2.444 1.464
-2.488 5.102 4.392
1.058 2.626 4.392
2.803 0.396 1.464
1.430 6.936 4.392
3.175 4.706 1.464
6.721 2.229 1.464
```


Here is a relaxed Ho2Ga3Ge2 crystal from the Alexandria database. Energies are from GGA-PBE.

ΔH_f (0 K), meV/atom: -435

POSCAR file:
```
Ho2Ga3Ge2
1.0
4.595 0.000 0.000
0.000 3.286 0.000
-2.243 0.000 9.495
Ho Ga Ge
2 3 2
Cartesian
0.016 0.000 2.718
2.335 0.000 6.777
0.000 1.643 0.000
0.029 1.643 5.358
2.323 1.643 4.137
0.047 1.643 7.969
2.304 1.643 1.526
```


Here is a relaxed Ho7GaGe5 crystal from the Alexandria database. Energies are from GGA-PBE.

ΔH_f (0 K), meV/atom: -501

POSCAR file:
```
Ho7GaGe5
1.0
-2.926 5.479 4.900
2.926 -5.479 4.900
2.926 5.479 -4.900
Ho Ga Ge
7 1 5
Cartesian
0.000 0.000 0.000
2.926 1.870 1.348
0.000 0.000 3.801
0.000 3.683 0.921
0.000 7.274 0.921
0.000 5.479 3.449
0.000 3.609 6.249
0.000 0.000 6.804
1.572 2.596 -1.264
4.281 2.596 -1.264
2.926 0.000 3.532
-1.354 2.882 3.636
1.354 2.882 3.636
```


Here is a relaxed Ho4GaGe crystal from the Alexandria database. Energies are from GGA-PBE.

ΔH_f (0 K), meV/atom: -304

POSCAR file:
```
Ho4GaGe
1.0
5.703 0.000 0.000
0.000 8.605 0.000
-1.452 0.000 7.056
Ho Ga Ge
8 2 2
Cartesian
-0.322 0.499 1.737
-0.322 3.804 1.737
1.614 6.454 3.484
1.071 2.151 6.928
3.180 6.454 0.128
2.637 2.151 3.572
4.573 4.801 5.319
4.573 8.106 5.319
-0.163 2.151 4.191
4.414 6.454 2.865
0.353 6.454 0.674
3.898 2.151 6.382
```


Here is a relaxed Ho2GaGe2Ir5 crystal from the Alexandria database. Energies are from GGA-PBE.

ΔH_f (0 K), meV/atom: -631

POSCAR file:
```
Ho2GaGe2Ir5
1.0
9.678 0.000 0.000
0.000 9.678 0.000
0.000 0.000 3.618
Ho Ga Ge Ir
4 2 4 10
Cartesian
1.681 3.158 0.000
3.158 7.997 0.000
6.519 1.681 0.000
7.997 6.519 0.000
0.000 0.000 0.000
4.839 4.839 0.000
1.221 6.060 0.000
3.618 1.221 0.000
6.060 8.456 0.000
8.456 3.618 0.000
0.000 4.839 1.809
0.626 7.698 1.809
1.979 0.626 1.809
2.859 5.465 1.809
4.213 2.859 1.809
4.839 0.000 1.809
5.465 6.818 1.809
6.818 4.213 1.809
7.698 9.052 1.809
9.052 1.979 1.809
```


Here is a relaxed Ho2GaGe3Ir4 crystal from the Alexandria database. Energies are from GGA-PBE.

ΔH_f (0 K), meV/atom: -755

POSCAR file:
```
Ho2GaGe3Ir4
1.0
4.181 0.000 0.000
0.000 4.181 0.000
0.000 0.000 10.315
Ho Ga Ge Ir
2 1 3 4
Cartesian
0.000 2.091 2.568
2.091 0.000 7.748
0.000 0.000 5.158
0.000 2.091 8.954
2.091 0.000 1.362
2.091 2.091 5.158
0.000 0.000 0.000
0.000 2.091 6.545
2.091 0.000 3.770
2.091 2.091 0.000
```


Here is a relaxed Ho2Ga2GeIr5 crystal from the Alexandria database. Energies are from GGA-PBE.

ΔH_f (0 K), meV/atom: -614

POSCAR file:
```
Ho2Ga2GeIr5
1.0
9.699 0.000 0.000
0.000 9.699 0.000
0.000 0.000 3.580
Ho Ga Ge Ir
4 4 2 10
Cartesian
1.681 3.169 0.000
3.169 8.018 0.000
6.530 1.681 0.000
8.018 6.530 0.000
1.219 6.068 0.000
3.631 1.219 0.000
6.068 8.480 0.000
8.480 3.631 0.000
0.000 0.000 0.000
4.849 4.849 0.000
0.000 4.849 1.790
0.634 7.742 1.790
1.957 0.634 1.790
2.893 5.483 1.790
4.216 2.893 1.790
4.849 0.000 1.790
5.483 6.806 1.790
6.806 4.216 1.790
7.742 9.065 1.790
9.065 1.957 1.790
```


Here is a relaxed LaHoGaGe crystal from the Alexandria database. Energies are from GGA-PBE.

ΔH_f (0 K), meV/atom: -595

POSCAR file:
```
LaHoGaGe
1.0
0.000 3.663 3.663
3.663 0.000 3.663
3.663 3.663 0.000
La Ho Ga Ge
1 1 1 1
Cartesian
0.000 0.000 0.000
3.663 3.663 3.663
1.832 1.832 1.832
5.495 5.495 5.495
```


Here is a relaxed LaHoGaGe crystal from the Alexandria database. Energies are from GGA-PBE.

ΔH_f (0 K), meV/atom: -744

POSCAR file:
```
LaHoGaGe
1.0
4.085 0.000 0.000
0.000 2.216 5.600
0.000 -2.216 5.600
La Ho Ga Ge
1 1 1 1
Cartesian
0.000 0.000 0.000
2.042 0.000 3.122
2.042 0.000 6.402
0.000 0.000 8.084
```


Here is a relaxed LiHoGaGe crystal from the Alexandria database. Energies are from GGA-PBE.

ΔH_f (0 K), meV/atom: -432

POSCAR file:
```
LiHoGaGe
1.0
0.000 3.408 3.408
3.408 0.000 3.408
3.408 3.408 0.000
Li Ho Ga Ge
1 1 1 1
Cartesian
0.000 0.000 0.000
3.408 3.408 3.408
5.112 5.112 5.112
1.704 1.704 1.704
```